BaZr3Sn | GGA-PBE | relaxed

a b c (Å): 5.515 5.515 5.515
angles (deg): 90.00 90.00 90.00
Fractional positions:
1 Ba 0.000 0.000 0.000
2 Zr 0.000 0.500 0.500
3 Zr 0.500 0.000 0.500
4 Zr 0.500 0.500 0.000
5 Sn 0.500 0.500 0.500

Energy relative to the elements = 68.0 kJ per mole of atoms
Energy above the lowest structure with this stoichiometry = 0 meV per atom
DOS at the Fermi energy = 11.258 states/eV/f.u.